KScTc (GGA-PBE, relaxed); energy relative to the elements = 0.6949 eV per atom; volume = 25.5 Å³/atom; E = -15.71 eV per formula unit; offset from the most stable computed form = 54 meV/atom; crystal system = trigonal; total magnetization = 0.000 μB per cell
1.0
-1.9108 2.6350 -0.3419
-1.2054 -2.7331 1.3374
2.3048 2.6410 7.4746
K Sc Tc
1 1 1
Direct
0.0000 0.0000 0.9590
0.6667 0.3333 0.4130
0.3333 0.6667 0.6280